(1)
{"formula": "BaFeO3", "functional": "GGA-PBEsol", "state": "relaxed", "lattice": [[3.912, 0.000, 0.000], [0.000, 3.912, 0.000], [0.000, 0.000, 3.912]], "species": ["Ba", "Fe", "O", "O", "O"], "fractional_positions": [[0.000, 0.000, 0.000], [0.500, 0.500, 0.500], [0.000, 0.500, 0.500], [0.500, 0.000, 0.500], [0.500, 0.500, 0.000]], "space_group": "Pm-3m", "total_energy_ev_per_cell": -36.5, "e_form_raw_ev_per_atom": -1.937}



(2)
{"formula": "ZnAgIr2", "functional": "GGA-PBEsol", "state": "relaxed", "lattice": [[1.385, -2.312, 0.000], [1.385, 2.312, 0.000], [0.000, 0.000, 9.117]], "species": ["Zn", "Ag", "Ir", "Ir"], "fractional_positions": [[0.000, 0.000, 0.000], [0.000, 0.000, 0.500], [0.500, 0.500, 0.234], [0.500, 0.500, 0.766]], "space_group": "Cmmm", "e_form_ev_per_atom": 0.1502, "total_energy_ev_per_cell": -23.9}



(3)
{"formula": "K4Ge9O20", "functional": "GGA-PBEsol", "state": "relaxed", "lattice": [[-7.891, 7.891, 3.776], [7.891, -7.891, 3.776], [7.891, 7.891, -3.776]], "species": ["K", "K", "K", "K", "K", "K", "K", "K", "Ge", "Ge", "Ge", "Ge", "Ge", "Ge", "Ge", "Ge", "Ge", "Ge", "Ge", "Ge", "Ge", "Ge", "Ge", "Ge", "Ge", "Ge", "O", "O", "O", "O", "O", "O", "O", "O", "O", "O", "O", "O", "O", "O", "O", "O", "O", "O", "O", "O", "O", "O", "O", "O", "O", "O", "O", "O", "O", "O", "O", "O", "O", "O", "O", "O", "O", "O", "O", "O"], "fractional_positions": [[0.213, 0.242, 0.143], [0.258, 0.901, 0.971], [0.401, 0.930, 0.643], [0.430, 0.287, 0.529], [0.570, 0.713, 0.471], [0.599, 0.070, 0.357], [0.742, 0.099, 0.029], [0.787, 0.758, 0.857], [0.043, 0.241, 0.416], [0.083, 0.265, 0.867], [0.102, 0.783, 0.367], [0.127, 0.543, 0.302], [0.235, 0.602, 0.818], [0.259, 0.175, 0.802], [0.283, 0.417, 0.682], [0.325, 0.627, 0.084], [0.375, 0.125, 0.250], [0.625, 0.875, 0.750], [0.675, 0.373, 0.916], [0.717, 0.583, 0.318], [0.741, 0.825, 0.198], [0.765, 0.398, 0.182], [0.873, 0.457, 0.698], [0.898, 0.217, 0.633], [0.917, 0.735, 0.133], [0.957, 0.759, 0.584], [0.016, 0.666, 0.193], [0.027, 0.177, 0.693], [0.047, 0.921, 0.720], [0.125, 0.654, 0.774], [0.149, 0.375, 0.030], [0.154, 0.881, 0.530], [0.163, 0.973, 0.131], [0.166, 0.473, 0.650], [0.174, 0.453, 0.374], [0.181, 0.200, 0.907], [0.207, 0.726, 0.407], [0.226, 0.319, 0.519], [0.300, 0.674, 0.220], [0.300, 0.707, 0.981], [0.323, 0.516, 0.850], [0.342, 0.032, 0.369], [0.381, 0.351, 0.726], [0.421, 0.200, 0.874], [0.468, 0.337, 0.311], [0.473, 0.842, 0.811], [0.527, 0.158, 0.189], [0.532, 0.663, 0.689], [0.579, 0.800, 0.126], [0.619, 0.649, 0.274], [0.658, 0.968, 0.631], [0.677, 0.484, 0.150], [0.700, 0.293, 0.019], [0.700, 0.326, 0.780], [0.774, 0.681, 0.481], [0.793, 0.274, 0.593], [0.819, 0.800, 0.093], [0.826, 0.547, 0.626], [0.834, 0.527, 0.350], [0.837, 0.027, 0.869], [0.846, 0.119, 0.470], [0.851, 0.625, 0.970], [0.875, 0.346, 0.226], [0.953, 0.079, 0.280], [0.973, 0.823, 0.307], [0.984, 0.334, 0.807]], "space_group": "I4_1/a", "total_energy_ev_per_cell": -427.0, "e_form_raw_ev_per_atom": -1.803}



(4)
{"formula": "CaSb2TeI", "functional": "GGA-PBEsol", "state": "relaxed", "lattice": [[5.669, 0.000, 0.000], [0.000, 5.669, 0.000], [0.000, 0.000, 5.853]], "species": ["Ca", "Sb", "Sb", "Te", "I"], "fractional_positions": [[0.000, 0.000, 0.000], [0.000, 0.500, 0.500], [0.500, 0.000, 0.500], [0.500, 0.500, 0.500], [0.500, 0.500, 0.000]], "space_group": "P4/mmm", "total_energy_ev_per_cell": -15.7, "e_form_raw_ev_per_atom": 0.173}



(5)
{"formula": "YTe2", "functional": "GGA-PBEsol", "state": "relaxed", "lattice": [[4.382, 0.000, 0.000], [0.000, 4.382, 0.000], [0.000, 0.000, 8.748]], "species": ["Y", "Y", "Te", "Te", "Te", "Te"], "fractional_positions": [[0.250, 0.250, 0.230], [0.750, 0.750, 0.770], [0.250, 0.250, 0.871], [0.250, 0.750, 0.500], [0.750, 0.250, 0.500], [0.750, 0.750, 0.129]], "space_group": "P4/nmm", "total_energy_ev_per_cell": -35.0, "e_form_raw_ev_per_atom": -1.214}



(6)
{"formula": "SrSm3Mn4O12", "functional": "GGA-PBEsol", "state": "relaxed", "lattice": [[5.367, 0.000, 0.000], [0.000, 7.616, 0.000], [-0.011, 0.000, 5.471]], "species": ["Sr", "Sm", "Sm", "Sm", "Mn", "Mn", "Mn", "Mn", "O", "O", "O", "O", "O", "O", "O", "O", "O", "O", "O", "O"], "fractional_positions": [[0.000, 0.000, 0.000], [0.018, 0.500, 0.913], [0.498, 0.500, 0.419], [0.520, 0.000, 0.516], [0.006, 0.250, 0.463], [0.006, 0.750, 0.463], [0.509, 0.250, 0.967], [0.509, 0.750, 0.967], [0.090, 0.000, 0.461], [0.221, 0.299, 0.179], [0.221, 0.701, 0.179], [0.291, 0.296, 0.680], [0.291, 0.704, 0.680], [0.451, 0.000, 0.942], [0.591, 0.500, 0.989], [0.708, 0.214, 0.264], [0.708, 0.786, 0.264], [0.786, 0.221, 0.745], [0.786, 0.779, 0.745], [0.930, 0.500, 0.479]], "space_group": "Pm", "total_energy_ev_per_cell": -170.6, "e_form_raw_ev_per_atom": -2.571}



> Which formula does entry 5 have?

YTe2